Record 1
## BaRe4Br (PBE)

Data for a geometry-optimized BaRe4Br structure.

Computed properties:
SG ... F-43m
Spin magnetization ... 0.00 μB/f.u.
Formation energy from raw total energies ... 1234 meV/atom

Unit cell a=5.5232 b=5.5232 c=5.5232 alpha=60.00 beta=60.00 gamma=60.00
Sites, in units of the cell vectors:
Re: 0.3732 0.3732 0.3732
Re: 0.8803 0.3732 0.3732
Re: 0.3732 0.3732 0.8803
Re: 0.3732 0.8803 0.3732
Ba: 0.7500 0.7500 0.7500
Br: 0.0000 0.0000 0.0000

Record 2
## BaReBr2 (PBE)

Data for a geometry-optimized BaReBr2 structure.

Computed properties:
Distance to the lowest polymorph of the same formula ... 0.1854 eV per atom
SG ... P4mm
Spin magnetization ... 5.00 μB/f.u.
Formation energy from raw total energies ... 267 meV/atom

Unit cell a=4.3155 b=4.3168 c=6.8030 alpha=90.00 beta=90.00 gamma=90.00
Sites, in units of the cell vectors:
Br: 0.5000 0.5000 0.2991
Br: 0.0000 0.0000 0.9862
Re: 0.0000 0.0000 0.4385
Ba: 0.5000 0.5000 0.7762

Record 3
## BaReBr2 (PBE)

Data for a geometry-optimized BaReBr2 structure.

Computed properties:
Distance to the lowest polymorph of the same formula ... 0.2502 eV per atom
SG ... R-3m
Spin magnetization ... 4.44 μB/f.u.
Formation energy from raw total energies ... 332 meV/atom

Unit cell a=9.9545 b=9.9545 c=9.9545 alpha=23.61 beta=23.61 gamma=23.61
Sites, in units of the cell vectors:
Ba: 0.5000 0.5000 0.5000
Br: 0.9135 0.9135 0.9135
Br: 0.0865 0.0865 0.0865
Re: 0.0000 0.0000 0.0000

Record 4
## BaReBr2 (PBE)

Data for a geometry-optimized BaReBr2 structure.

Computed properties:
Distance to the lowest polymorph of the same formula ... 0.0000 eV per atom
SG ... Amm2
Spin magnetization ... 3.01 μB/f.u.
Formation energy from raw total energies ... 82 meV/atom

Unit cell a=4.6933 b=4.2825 c=6.7408 alpha=71.45 beta=90.00 gamma=90.00
Sites, in units of the cell vectors:
Re: 0.0000 0.3227 0.4790
Ba: 0.5000 0.6896 0.7459
Br: 0.0000 0.0970 0.9306
Br: 0.5000 0.3906 0.3445

Record 5
## BaReBr2 (PBE)

Data for a geometry-optimized BaReBr2 structure.

Computed properties:
Distance to the lowest polymorph of the same formula ... 0.1474 eV per atom
SG ... Fm-3m
Spin magnetization ... 5.00 μB/f.u.
Formation energy from raw total energies ... 229 meV/atom

Unit cell a=5.5830 b=5.5830 c=5.5830 alpha=60.00 beta=60.00 gamma=60.00
Sites, in units of the cell vectors:
Br: 0.7500 0.7500 0.7500
Br: 0.2500 0.2500 0.2500
Ba: 0.0000 0.0000 0.0000
Re: 0.5000 0.5000 0.5000

Record 6
## BaReBr2 (PBE)

Data for a geometry-optimized BaReBr2 structure.

Computed properties:
Distance to the lowest polymorph of the same formula ... 0.1628 eV per atom
SG ... I-42d
Spin magnetization ... 1.04 μB/f.u.
Formation energy from raw total energies ... 244 meV/atom

Unit cell a=5.5932 b=5.5932 c=9.0062 alpha=71.91 beta=71.91 gamma=90.00
Sites, in units of the cell vectors:
Br: 0.0198 0.6250 0.2500
Br: 0.7302 0.1250 0.2500
Br: 0.3750 0.2698 0.7500
Br: 0.8750 0.9802 0.7500
Ba: 0.2500 0.7500 0.5000
Ba: 0.5000 0.5000 0.0000
Re: 0.7500 0.2500 0.5000
Re: 0.0000 0.0000 0.0000

> What is the spin magnetization in the first record?

0.00 μB/f.u.

> The lowest formation energy from raw total energies belongs to which entry?

number 4